First-principles (GGA-PBE) data for a relaxed Al2Si2Pt crystal, as listed in the Alexandria database.

```
Al2Si2Pt
1.0
6.6030 0.0000 0.0000
0.0000 6.6030 0.0000
0.0000 0.0000 3.7219
Al Si Pt
4 4 2
Direct
0.1414 0.3586 0.0000
0.3586 0.8586 0.0000
0.6414 0.1414 0.0000
0.8586 0.6414 0.0000
0.1601 0.6601 0.5000
0.3399 0.1601 0.5000
0.6601 0.8399 0.5000
0.8399 0.3399 0.5000
0.0000 0.0000 0.0000
0.5000 0.5000 0.0000
```

Calculated values
ΔE_f (raw) (eV per atom): 0.052
E above lowest polymorph (meV per atom): 206
Size of the total moment (μB per formula unit): 0.000
Raw total energy (eV per atom): -4.822

First-principles (GGA-PBE) data for a relaxed Rb2NpNi2Te4 crystal, as listed in the Alexandria database.

```
Rb2NpNi2Te4
1.0
7.8730 -2.1371 0.0000
7.8730 2.1371 0.0000
-2.7644 0.0000 8.2898
Rb Np Ni Te
2 1 2 4
Direct
0.1351 0.1351 0.0557
0.8649 0.8649 0.9443
0.0000 0.0000 0.5000
0.3180 0.3180 0.5109
0.6820 0.6820 0.4891
0.2018 0.2018 0.6608
0.4760 0.4760 0.7309
0.5240 0.5240 0.2691
0.7982 0.7982 0.3392
```

Calculated values
ΔE_f (raw) (eV per atom): -0.608
Size of the total moment (μB per formula unit): 2.384
Raw total energy (eV per atom): -4.942

First-principles (GGA-PBE) data for a relaxed Mn2AlW crystal, as listed in the Alexandria database.

```
Mn2AlW
1.0
6.0590 0.0000 0.0000
0.0000 6.0590 0.0000
0.0000 0.0000 6.0590
Mn Al W
8 4 4
Direct
0.0000 0.0000 0.0000
0.0000 0.5000 0.5000
0.2500 0.2500 0.2500
0.2500 0.7500 0.7500
0.5000 0.0000 0.5000
0.5000 0.5000 0.0000
0.7500 0.2500 0.7500
0.7500 0.7500 0.2500
0.0000 0.0000 0.5000
0.0000 0.5000 0.0000
0.5000 0.0000 0.0000
0.5000 0.5000 0.5000
0.2500 0.2500 0.7500
0.2500 0.7500 0.2500
0.7500 0.2500 0.2500
0.7500 0.7500 0.7500
```

Calculated values
Size of the total moment (μB per formula unit): 4.954
Raw total energy (eV per atom): -8.701
Formation energy (eV per atom): 0.0582